Below is a relaxed structure of Sm4Mg7Ge6, with properties calculated at the PBE level.

The value obtained for the formation energy is -0.556 eV/atom. As for the crystal system: monoclinic.

It has space group C2/m (No. 12), with a = 16.5516 Å, b = 4.4175 Å, c = 12.4664 Å, α = 90.00°, β = 122.37° and γ = 90.00°. The inequivalent atoms are Sm at (0.1291, 0.0000, 0.3385), Sm at (0.2328, 0.0000, 0.1139), Mg at (0.0000, 0.0000, 0.0000), Mg at (0.0409, 0.5000, 0.6394), Mg at (0.0636, 0.5000, 0.8975), Mg at (0.1903, 0.0000, 0.6520), Ge at (0.1117, 0.0000, 0.8137), Ge at (0.1205, 0.5000, 0.1531) and Ge at (0.1499, 0.5000, 0.5205).

***

Below is a relaxed structure of OsWCCl2, with properties calculated at the PBE level.

For the raw formation energy, the calculation gives 1891.0 meV per atom. As for the crystal system: tetragonal.

It has space group P4/mmm (No. 123), with a = 4.8875 Å, b = 4.8875 Å, c = 3.9864 Å, α = 90.00°, β = 90.00° and γ = 90.00°. The inequivalent atoms are Os at (0.0000, 0.0000, 0.0000), W at (0.5000, 0.5000, 0.5000), C at (0.5000, 0.5000, 0.0000) and Cl at (0.0000, 0.5000, 0.5000).

***

Below is a relaxed structure of PmCuP2, with properties calculated at the PBE level.

The value obtained for the formation energy is -0.093 eV/atom. As for the crystal system: trigonal. Its offset from the most stable computed form is 774 meV/atom.

It has space group R-3m (No. 166, hexagonal axes), with a = 4.4814 Å, b = 4.4814 Å, c = 20.2572 Å, α = 90.00°, β = 90.00° and γ = 120.00°. The inequivalent atoms are Pm at (0.0000, 0.0000, 0.0000), Cu at (0.0000, 0.0000, 0.5000) and P at (0.0000, 0.0000, 0.3940).

***

Below is a relaxed structure of Hf2PdC, with properties calculated at the PBE level.

The value obtained for the formation energy is -0.272 eV/atom. As for the crystal system: tetragonal.

It has space group I-42d (No. 122), with a = 6.3392 Å, b = 6.3392 Å, c = 7.0311 Å, α = 90.00°, β = 90.00° and γ = 90.00°. The inequivalent atoms are Hf at (0.1871, 0.2500, 0.1250), Pd at (0.0000, 0.0000, 0.5000) and C at (0.0000, 0.0000, 0.0000).

***

Below is a relaxed structure of Sc2TiSb, with properties calculated at the PBE level.

For the raw formation energy, the calculation gives 62.2 meV per atom. As for the crystal system: tetragonal.

It has space group I-42d (No. 122), with a = 7.9870 Å, b = 7.9870 Å, c = 5.7902 Å, α = 90.00°, β = 90.00° and γ = 90.00°. The inequivalent atoms are Sc at (0.2426, 0.7500, 0.1250), Ti at (0.0000, 0.0000, 0.5000) and Sb at (0.0000, 0.0000, 0.0000).

***

Below is a relaxed structure of Tl2CdBr2Cl2, with properties calculated at the PBE level.

For the raw formation energy, the calculation gives -941.2 meV per atom. As for the crystal system: tetragonal.

It has space group I4/mmm (No. 139), with a = 5.2625 Å, b = 5.2625 Å, c = 16.6088 Å, α = 90.00°, β = 90.00° and γ = 90.00°. The inequivalent atoms are Tl at (0.0000, 0.0000, 0.1383), Cd at (0.0000, 0.0000, 0.5000), Br at (0.0000, 0.0000, 0.3338) and Cl at (0.0000, 0.5000, 0.0000).